Material: PmPuMg2
Method: DFT, GGA-PBE
State: optimized geometry

The structure in extended XYZ format:
```
4
Lattice="4.730 0.000 0.000 0.000 4.730 0.000 0.000 0.000 4.926" Properties=species:S:1:pos:R:3 pbc="T T T"
Pm 0.000 0.000 0.000
Pu 2.365 2.365 0.000
Mg 0.000 2.365 2.463
Mg 2.365 0.000 2.463
```

- Formation enthalpy at 0 K: 11 kJ per mole of atoms
- Energy above the lowest structure with this stoichiometry: 3.8 kJ/mol of atoms
- Volume: 27.6 Å³/atom